No. 1
## TbSc2Tc9 (GGA-PBE)

Data for crystalline TbSc2Tc9 at its relaxed geometry.

Lattice parameters (Å, degrees): 9.1522 9.1522 9.1522 33.46 33.46 33.46
Last column: nearest neighbours and their distance in Å.
Positions (direct):
Tb 0.0000 0.0000 0.0000  6 Tc 3.04
Sc 0.1440 0.1440 0.1440  12 Tc 3.04-3.10, 3 Sc 3.26
Sc 0.8560 0.8560 0.8560  12 Tc 3.04-3.10, 3 Sc 3.26
Tc 0.0746 0.5910 0.5910  7 Tc 2.55-2.75
Tc 0.3374 0.3374 0.3374  6 Tc 2.63-2.75
Tc 0.4090 0.4090 0.9254  7 Tc 2.55-2.75
Tc 0.4090 0.9254 0.4090  7 Tc 2.55-2.75
Tc 0.5000 0.5000 0.5000  6 Tc 2.62
Tc 0.5910 0.0746 0.5910  7 Tc 2.55-2.75
Tc 0.5910 0.5910 0.0746  7 Tc 2.55-2.75
Tc 0.6626 0.6626 0.6626  6 Tc 2.63-2.75
Tc 0.9254 0.4090 0.4090  7 Tc 2.55-2.75

volume = 208 Å³/cell
theoretical density = 9.05 Mg/m³
ΔE_f = -114 meV per atom
spin magnetization = 0.00 μB per formula unit
E_tot = -111.96 eV for the cell shown

---

No. 2
## Tm2SnBi (GGA-PBE)

Data for crystalline Tm2SnBi at its relaxed geometry.

Lattice parameters (Å, degrees): 12.0973 12.0973 4.3237 90.00 90.00 158.72
Last column: nearest neighbours and their distance in Å.
Positions (direct):
Tm 0.0608 0.9392 0.7500  1 Bi 3.05, 6 Sn 3.12-3.41
Tm 0.3199 0.6801 0.7500  5 Bi 3.12, 1 Sn 3.16
Tm 0.6801 0.3199 0.2500  5 Bi 3.12, 1 Sn 3.16
Tm 0.9392 0.0608 0.2500  1 Bi 3.05, 6 Sn 3.12-3.41
Sn 0.4527 0.5473 0.7500  2 Sn 3.12, 7 Tm 3.12-3.41
Sn 0.5473 0.4527 0.2500  2 Sn 3.12, 7 Tm 3.12-3.41
Bi 0.1889 0.8111 0.7500  6 Tm 3.05-3.12
Bi 0.8111 0.1889 0.2500  6 Tm 3.05-3.12

volume = 230 Å³/cell
theoretical density = 9.63 Mg/m³
ΔE_f = -704 meV per atom
spin magnetization = 0.00 μB per formula unit
E_tot = -39.28 eV for the cell shown

---

No. 3
## Na2PuCrN4 (GGA-PBE)

Data for crystalline Na2PuCrN4 at its relaxed geometry.

Lattice parameters (Å, degrees): 6.4909 7.3254 4.8477 90.00 90.00 90.00
Last column: nearest neighbours and their distance in Å.
Positions (direct):
Na 0.2346 0.1294 0.0000  3 N 2.28-2.44
Na 0.2654 0.8706 0.5000  3 N 2.28-2.44
Na 0.7346 0.8706 0.5000  3 N 2.28-2.44
Na 0.7654 0.1294 0.0000  3 N 2.28-2.44
Pu 0.0000 0.3954 0.5054  3 N 2.09-2.21
Pu 0.5000 0.6046 0.0054  3 N 2.09-2.21
Cr 0.0000 0.6871 0.9413  4 N 1.73-1.81
Cr 0.5000 0.3129 0.4413  4 N 1.73-1.81
N 0.0000 0.4434 0.0007  1 Cr 1.81
N 0.0000 0.6756 0.5859  1 Cr 1.73
N 0.2373 0.7971 0.0182  1 Cr 1.78
N 0.2627 0.2029 0.5182  1 Cr 1.78
N 0.5000 0.3244 0.0859  1 Cr 1.73
N 0.5000 0.5566 0.5007  1 Cr 1.81
N 0.7373 0.2029 0.5182  1 Cr 1.78
N 0.7627 0.7971 0.0182  1 Cr 1.78

formation energy without anion corrections = -502 meV/atom
volume = 230 Å³/cell
theoretical density = 5.73 Mg/m³
spin magnetization = 4.00 μB per formula unit
E_tot = -127.82 eV for the cell shown

---

No. 4
## BaZn2GaFe (GGA-PBE)

Data for crystalline BaZn2GaFe at its relaxed geometry.

Lattice parameters (Å, degrees): 4.8365 4.8365 4.6868 90.00 90.00 90.00
Last column: nearest neighbours and their distance in Å.
Positions (direct):
Ba 0.0000 0.0000 0.0000  8 Zn 3.37, 4 Ga 3.42
Zn 0.0000 0.5000 0.5000  2 Fe 2.42
Zn 0.5000 0.0000 0.5000  2 Fe 2.42
Ga 0.5000 0.5000 0.0000  2 Fe 2.34
Fe 0.5000 0.5000 0.5000  2 Ga 2.34, 4 Zn 2.42

volume = 110 Å³/cell
theoretical density = 5.96 Mg/m³
ΔE_f = -127 meV per atom
spin magnetization = 0.56 μB per formula unit
E_tot = -16.60 eV for the cell shown